Record 1
# InTcSn4

A geometry-optimized InTcSn4 structure (PBE-GGA, Alexandria via LeMat-Bulk).

Cell and atoms, written as POSCAR:
```
InTcSn4
1.0
2.144 0.893 -6.671
-0.976 -6.887 -1.235
-5.899 4.032 2.383
Sn Tc In
8 2 2
Direct
0.795 0.295 0.287
0.705 0.508 0.713
0.992 0.795 0.287
0.508 0.008 0.713
0.492 0.992 0.287
0.205 0.705 0.713
0.295 0.492 0.287
0.008 0.205 0.713
0.250 0.250 0.500
0.750 0.750 0.500
0.500 0.500 0.000
0.000 0.000 0.000
```

Calculated values
* raw total energy: -4.885 eV/atom
* ΔH_f (0 K): -0.19 eV per formula unit
* crystal system: tetragonal
* excess energy over the best structure of this formula in the dataset: 0.000 eV per atom
* total magnetization: 0.0 μB per formula unit

Record 2
# RbYPb

A geometry-optimized RbYPb structure (PBE-GGA, Alexandria via LeMat-Bulk).

Cell and atoms, written as POSCAR:
```
RbYPb
1.0
5.294 0.001 0.000
0.001 11.308 0.001
2.648 0.002 4.586
Rb Pb Y
2 2 2
Direct
0.456 0.969 0.343
0.790 0.278 0.676
0.123 0.457 0.010
0.790 0.738 0.676
0.123 0.728 0.010
0.456 0.556 0.343
```

Calculated values
* raw total energy: -3.889 eV/atom
* ΔH_f (0 K): -0.53 eV per formula unit
* crystal system: trigonal
* excess energy over the best structure of this formula in the dataset: 0.110 eV per atom
* total magnetization: 0.0 μB per formula unit

Record 3
# RbPt3I

A geometry-optimized RbPt3I structure (PBE-GGA, Alexandria via LeMat-Bulk).

Cell and atoms, written as POSCAR:
```
RbPt3I
1.0
-2.528 -2.881 3.403
4.392 -0.934 2.472
-0.769 4.135 2.929
Pt Rb I
3 1 1
Direct
0.000 0.500 0.000
0.000 0.000 0.500
0.500 0.000 0.000
0.500 0.500 0.500
0.000 0.000 0.000
```

Calculated values
* raw total energy: -3.529 eV/atom
* crystal system: cubic
* excess energy over the best structure of this formula in the dataset: 0.000 eV per atom
* formation energy without anion corrections: 599 meV per atom
* total magnetization: 0.0 μB per formula unit

Record 4
# AlAu3Cl

A geometry-optimized AlAu3Cl structure (PBE-GGA, Alexandria via LeMat-Bulk).

Cell and atoms, written as POSCAR:
```
AlAu3Cl
1.0
-0.951 -1.003 4.782
1.100 -4.790 -0.786
4.760 0.907 1.137
Al Cl Au
1 1 3
Direct
0.500 0.500 0.500
0.000 0.000 0.000
0.000 0.500 0.000
0.500 0.000 0.000
0.000 0.000 0.500
```

Calculated values
* raw total energy: -2.193 eV/atom
* crystal system: cubic
* excess energy over the best structure of this formula in the dataset: 0.518 eV per atom
* formation energy without anion corrections: 891 meV per atom
* total magnetization: 0.0 μB per formula unit

Record 5
# SmScAlPt2

A geometry-optimized SmScAlPt2 structure (PBE-GGA, Alexandria via LeMat-Bulk).

Cell and atoms, written as POSCAR:
```
SmScAlPt2
1.0
-2.082 -1.426 3.286
-1.737 -2.922 -2.368
6.460 -1.556 0.805
Pt Al Sc Sm
2 1 1 1
Direct
0.613 0.613 0.225
0.387 0.387 0.775
0.250 0.750 0.500
0.750 0.250 0.500
0.000 0.000 0.000
```

Calculated values
* raw total energy: -6.471 eV/atom
* ΔH_f (0 K): -5.48 eV per formula unit
* crystal system: tetragonal
* total magnetization: 0.0 μB per formula unit

Record 6
# TmCuGeAu

A geometry-optimized TmCuGeAu structure (PBE-GGA, Alexandria via LeMat-Bulk).

Cell and atoms, written as POSCAR:
```
TmCuGeAu
1.0
4.707 0.000 0.000
2.354 4.077 0.000
2.354 1.359 3.844
Ge Cu Tm Au
1 1 1 1
Direct
0.250 0.250 0.250
0.500 0.500 0.500
0.750 0.750 0.750
0.000 0.000 0.000
```

Calculated values
* raw total energy: -4.510 eV/atom
* ΔH_f (0 K): -1.58 eV per formula unit
* crystal system: cubic
* total magnetization: 0.0 μB per formula unit

Record 7
# Al3Tc2Ge2

A geometry-optimized Al3Tc2Ge2 structure (PBE-GGA, Alexandria via LeMat-Bulk).

Cell and atoms, written as POSCAR:
```
Al3Tc2Ge2
1.0
3.067 0.001 -0.678
-0.200 3.977 -0.918
0.333 -0.050 8.806
Ge Tc Al
2 2 3
Direct
0.095 0.595 0.191
0.905 0.405 0.809
0.366 0.866 0.731
0.634 0.134 0.269
0.262 0.262 0.523
0.000 0.000 0.000
0.738 0.738 0.477
```

Calculated values
* raw total energy: -6.073 eV/atom
* ΔH_f (0 K): -1.31 eV per formula unit
* crystal system: orthorhombic
* total magnetization: 0.0 μB per formula unit

Record 8
# HoThTcAu

A geometry-optimized HoThTcAu structure (PBE-GGA, Alexandria via LeMat-Bulk).

Cell and atoms, written as POSCAR:
```
HoThTcAu
1.0
-0.080 -4.255 -2.732
-0.357 -4.483 2.313
-4.263 -2.696 -0.356
Ho Th Au Tc
1 1 1 1
Direct
0.000 0.000 0.000
0.500 0.500 0.500
0.250 0.250 0.250
0.750 0.750 0.750
```

Calculated values
* raw total energy: -6.751 eV/atom
* ΔH_f (0 K): -1.36 eV per formula unit
* crystal system: cubic
* total magnetization: 0.0 μB per formula unit

Record 9
# Cr2HgIr

A geometry-optimized Cr2HgIr structure (PBE-GGA, Alexandria via LeMat-Bulk).

Cell and atoms, written as POSCAR:
```
Cr2HgIr
1.0
-0.378 0.824 -4.384
3.328 -1.109 -2.781
-0.523 -3.389 -2.878
Hg Cr Ir
1 2 1
Direct
0.500 0.500 0.500
0.250 0.250 0.250
0.000 0.000 0.000
0.750 0.750 0.750
```

Calculated values
* raw total energy: -6.695 eV/atom
* ΔH_f (0 K): 1.63 eV per formula unit
* crystal system: cubic
* total magnetization: 0.6 μB per formula unit

Record 10
# Li2NbNi2

A geometry-optimized Li2NbNi2 structure (PBE-GGA, Alexandria via LeMat-Bulk).

Cell and atoms, written as POSCAR:
```
Li2NbNi2
1.0
-2.155 0.496 -2.425
2.262 -0.911 -2.196
-1.894 -6.242 -1.814
Ni Li Nb
2 2 1
Direct
0.594 0.594 0.811
0.406 0.406 0.189
0.750 0.250 0.500
0.250 0.750 0.500
0.000 0.000 0.000
```

Calculated values
* raw total energy: -5.027 eV/atom
* ΔH_f (0 K): 0.33 eV per formula unit
* crystal system: tetragonal
* excess energy over the best structure of this formula in the dataset: 0.000 eV per atom
* total magnetization: 0.0 μB per formula unit

Record 11
# ScTaHg

A geometry-optimized ScTaHg structure (PBE-GGA, Alexandria via LeMat-Bulk).

Cell and atoms, written as POSCAR:
```
ScTaHg
1.0
-4.000 0.821 -2.673
2.081 -4.415 -0.013
-1.735 -0.825 2.344
Ta Sc Hg
1 1 1
Direct
0.667 0.333 0.833
0.333 0.667 0.333
0.000 0.000 0.833
```

Calculated values
* raw total energy: -5.880 eV/atom
* ΔH_f (0 K): 0.85 eV per formula unit
* crystal system: hexagonal
* excess energy over the best structure of this formula in the dataset: 0.264 eV per atom
* total magnetization: 0.0 μB per formula unit

Record 12
# CsB2Br8

A geometry-optimized CsB2Br8 structure (PBE-GGA, Alexandria via LeMat-Bulk).

Cell and atoms, written as POSCAR:
```
CsB2Br8
1.0
-3.990 -2.772 5.511
-3.248 2.977 -5.750
5.417 -10.897 -1.560
Br B Cs
8 2 1
Direct
0.409 0.818 0.810
0.600 0.651 0.195
0.949 0.349 0.805
0.861 0.721 0.449
0.139 0.279 0.551
0.051 0.651 0.195
0.591 0.182 0.190
0.400 0.349 0.805
0.777 0.554 0.250
0.223 0.446 0.750
0.000 0.000 0.000
```

Calculated values
* raw total energy: -3.160 eV/atom
* crystal system: monoclinic
* formation energy without anion corrections: -652 meV per atom
* total magnetization: 1.0 μB per formula unit

Record 13
# ErTlTeO6

A geometry-optimized ErTlTeO6 structure (PBE-GGA, Alexandria via LeMat-Bulk).

Cell and atoms, written as POSCAR:
```
ErTlTeO6
1.0
-1.231 -4.441 -1.941
-0.486 -1.879 4.608
-9.648 2.647 0.061
Te Tl O Er
2 2 12 2
Direct
0.500 0.500 0.834
0.000 0.000 0.334
0.000 0.000 0.668
0.500 0.500 0.168
0.314 0.314 0.979
0.814 0.186 0.479
0.180 0.820 0.184
0.686 0.686 0.979
0.723 0.723 0.338
0.680 0.680 0.684
0.777 0.223 0.838
0.820 0.180 0.184
0.186 0.814 0.479
0.320 0.320 0.684
0.223 0.777 0.838
0.277 0.277 0.338
0.000 0.000 0.996
0.500 0.500 0.496
```

Calculated values
* raw total energy: -6.082 eV/atom
* crystal system: tetragonal
* formation energy without anion corrections: -1657 meV per atom
* total magnetization: 0.0 μB per formula unit

Record 14
# ZrScNb2C

A geometry-optimized ZrScNb2C structure (PBE-GGA, Alexandria via LeMat-Bulk).

Cell and atoms, written as POSCAR:
```
ZrScNb2C
1.0
4.383 0.000 0.000
0.000 4.383 0.000
0.000 0.000 4.674
Zr Nb Sc C
1 2 1 1
Direct
0.000 0.000 0.500
0.000 0.500 0.000
0.500 0.000 0.000
0.500 0.500 0.500
0.000 0.000 0.000
```

Calculated values
* raw total energy: -9.009 eV/atom
* ΔH_f (0 K): -0.80 eV per formula unit
* crystal system: tetragonal
* total magnetization: 0.0 μB per formula unit

Record 15
# Th4FeRhSe2

A geometry-optimized Th4FeRhSe2 structure (PBE-GGA, Alexandria via LeMat-Bulk).

Cell and atoms, written as POSCAR:
```
Th4FeRhSe2
1.0
4.058 0.000 0.000
0.000 7.670 -0.405
0.000 2.469 6.599
Th Rh Se Fe
4 1 2 1
Direct
0.000 0.287 0.251
0.000 0.713 0.749
0.500 0.290 0.728
0.500 0.710 0.272
0.500 0.500 0.000
0.000 0.000 0.000
0.500 0.000 0.500
0.000 0.500 0.500
```

Calculated values
* raw total energy: -7.574 eV/atom
* crystal system: monoclinic
* formation energy without anion corrections: -1016 meV per atom
* total magnetization: 0.0 μB per formula unit

Record 16
# MgAg7Hg4

A geometry-optimized MgAg7Hg4 structure (PBE-GGA, Alexandria via LeMat-Bulk).

Cell and atoms, written as POSCAR:
```
MgAg7Hg4
1.0
5.177 0.000 0.000
2.588 9.223 -0.374
2.588 0.097 5.315
Hg Mg Ag
4 1 7
Direct
0.602 0.226 0.570
0.274 0.308 0.144
0.726 0.692 0.856
0.398 0.774 0.430
0.000 0.000 0.000
0.204 0.082 0.511
0.350 0.530 0.769
0.500 0.000 0.000
0.957 0.379 0.706
0.650 0.470 0.231
0.796 0.918 0.489
0.043 0.621 0.294
```

Calculated values
* raw total energy: -1.783 eV/atom
* ΔH_f (0 K): 1.36 eV per formula unit
* crystal system: monoclinic
* total magnetization: 0.0 μB per formula unit

Record 17
# MgZrNb4

A geometry-optimized MgZrNb4 structure (PBE-GGA, Alexandria via LeMat-Bulk).

Cell and atoms, written as POSCAR:
```
MgZrNb4
1.0
-4.607 -2.724 -1.536
0.162 -3.545 -4.291
-0.425 -5.479 0.897
Nb Mg Zr
4 1 1
Direct
0.623 0.623 0.130
0.623 0.130 0.623
0.623 0.623 0.623
0.130 0.623 0.623
0.000 0.000 0.000
0.250 0.250 0.250
```

Calculated values
* raw total energy: -8.222 eV/atom
* ΔH_f (0 K): 1.09 eV per formula unit
* crystal system: cubic
* total magnetization: 0.0 μB per formula unit

Record 18
# Y2OsPb

A geometry-optimized Y2OsPb structure (PBE-GGA, Alexandria via LeMat-Bulk).

Cell and atoms, written as POSCAR:
```
Y2OsPb
1.0
3.543 0.000 0.000
0.000 4.647 0.000
0.000 0.000 6.301
Os Y Pb
1 2 1
Direct
0.000 0.000 0.413
0.500 0.500 0.313
0.000 0.000 0.986
0.500 0.500 0.788
```

Calculated values
* raw total energy: -6.838 eV/atom
* ΔH_f (0 K): 0.51 eV per formula unit
* crystal system: orthorhombic
* total magnetization: 0.0 μB per formula unit

Record 19
# GdLuBi

A geometry-optimized GdLuBi structure (PBE-GGA, Alexandria via LeMat-Bulk).

Cell and atoms, written as POSCAR:
```
GdLuBi
1.0
-1.205 3.727 0.907
0.665 -0.734 3.896
5.403 0.294 -2.941
Lu Gd Bi
1 1 1
Direct
0.271 0.271 0.541
0.958 0.958 0.916
0.621 0.621 0.243
```

Calculated values
* raw total energy: -7.961 eV/atom
* ΔH_f (0 K): -1.40 eV per formula unit
* crystal system: tetragonal
* excess energy over the best structure of this formula in the dataset: 0.000 eV per atom
* total magnetization: 8.1 μB per formula unit

Record 20
# TiTl2BF6

A geometry-optimized TiTl2BF6 structure (PBE-GGA, Alexandria via LeMat-Bulk).

Cell and atoms, written as POSCAR:
```
TiTl2BF6
1.0
0.000 4.358 4.358
4.358 0.000 4.358
4.358 4.358 0.000
Tl Ti F B
2 1 6 1
Direct
0.250 0.250 0.250
0.750 0.750 0.750
0.000 0.000 0.000
0.227 0.773 0.227
0.227 0.227 0.773
0.227 0.773 0.773
0.773 0.773 0.227
0.773 0.227 0.773
0.773 0.227 0.227
0.500 0.500 0.500
```

Calculated values
* raw total energy: -4.934 eV/atom
* crystal system: cubic
* formation energy without anion corrections: -1881 meV per atom
* total magnetization: 1.0 μB per formula unit

Record 21
# PmAgAsO5

A geometry-optimized PmAgAsO5 structure (PBE-GGA, Alexandria via LeMat-Bulk).

Cell and atoms, written as POSCAR:
```
PmAgAsO5
1.0
5.904 -0.248 -0.038
-1.961 5.575 -0.038
-1.686 -2.277 7.929
Pm As Ag O
2 2 2 10
Direct
0.000 0.000 0.500
0.000 0.000 0.000
0.690 0.310 0.250
0.310 0.690 0.750
0.310 0.690 0.250
0.690 0.310 0.750
0.259 0.441 0.585
0.905 0.095 0.750
0.095 0.905 0.250
0.655 0.046 0.326
0.559 0.741 0.915
0.741 0.559 0.415
0.046 0.655 0.826
0.345 0.954 0.674
0.954 0.345 0.174
0.441 0.259 0.085
```

Calculated values
* raw total energy: -6.221 eV/atom
* crystal system: monoclinic
* formation energy without anion corrections: -1591 meV per atom
* total magnetization: 1.0 μB per formula unit

Record 22
# PPdSe2Br

A geometry-optimized PPdSe2Br structure (PBE-GGA, Alexandria via LeMat-Bulk).

Cell and atoms, written as POSCAR:
```
PPdSe2Br
1.0
4.932 0.000 0.000
0.000 4.932 0.000
0.000 0.000 4.972
Pd Se Br P
1 2 1 1
Direct
0.000 0.000 0.000
0.500 0.000 0.000
0.000 0.500 0.000
0.000 0.000 0.500
0.500 0.500 0.500
```

Calculated values
* raw total energy: -3.122 eV/atom
* crystal system: tetragonal
* excess energy over the best structure of this formula in the dataset: 0.082 eV per atom
* formation energy without anion corrections: 727 meV per atom
* total magnetization: 0.0 μB per formula unit

Record 23
# SmHo3Tl

A geometry-optimized SmHo3Tl structure (PBE-GGA, Alexandria via LeMat-Bulk).

Cell and atoms, written as POSCAR:
```
SmHo3Tl
1.0
-1.576 -2.837 5.653
-1.176 -9.310 -2.953
8.851 -3.121 2.948
Sm Ho Tl
4 12 4
Direct
0.030 0.672 0.538
0.470 0.462 0.328
0.530 0.538 0.672
0.970 0.328 0.462
0.860 0.268 0.123
0.360 0.123 0.268
0.638 0.626 0.998
0.478 0.209 0.593
0.022 0.407 0.791
0.362 0.374 0.002
0.862 0.002 0.374
0.138 0.998 0.626
0.978 0.593 0.209
0.522 0.791 0.407
0.140 0.732 0.877
0.640 0.877 0.732
0.750 0.165 0.835
0.250 0.835 0.165
0.250 0.084 0.916
0.750 0.916 0.084
```

Calculated values
* raw total energy: -4.208 eV/atom
* ΔH_f (0 K): -0.22 eV per formula unit
* crystal system: monoclinic
* excess energy over the best structure of this formula in the dataset: 0.072 eV per atom
* total magnetization: 0.0 μB per formula unit

Record 24
# HoCuSn2

A geometry-optimized HoCuSn2 structure (PBE-GGA, Alexandria via LeMat-Bulk).

Cell and atoms, written as POSCAR:
```
HoCuSn2
1.0
-1.938 -2.145 -1.801
-2.509 -1.722 1.530
-7.380 5.625 -1.978
Cu Sn Ho
1 2 1
Direct
0.000 0.000 0.000
0.737 0.737 0.788
0.263 0.263 0.212
0.500 0.500 0.500
```

Calculated values
* raw total energy: -4.234 eV/atom
* ΔH_f (0 K): -0.26 eV per formula unit
* crystal system: trigonal
* total magnetization: 0.0 μB per formula unit

Record 25
# KGe

A geometry-optimized KGe structure (PBE-GGA, Alexandria via LeMat-Bulk).

Cell and atoms, written as POSCAR:
```
KGe
1.0
-2.088 -3.885 1.899
1.879 -4.352 -0.766
2.137 -2.359 3.595
K Ge
1 1
Direct
0.000 0.000 0.000
0.500 0.500 0.500
```

Calculated values
* raw total energy: -2.091 eV/atom
* ΔH_f (0 K): 1.53 eV per formula unit
* crystal system: cubic
* excess energy over the best structure of this formula in the dataset: 0.980 eV per atom
* total magnetization: 0.1 μB per formula unit